No. 1
LuMgCdAg | PBE | relaxed

Offset from the most stable computed form = 0 meV per atom
Crystal system = cubic

Unit cell a=4.9475 b=4.9475 c=4.9475 alpha=60.00 beta=60.00 gamma=60.00
With the nearest neighbours (Å) after each atom.
Fractional positions:
Ag  0.0000  0.0000  0.0000  4 Lu 3.03, 4 Mg 3.03
Cd  0.5000  0.5000  0.5000  4 Mg 3.03, 4 Lu 3.03
Lu  0.7500  0.7500  0.7500  4 Cd 3.03, 4 Ag 3.03
Mg  0.2500  0.2500  0.2500  4 Cd 3.03, 4 Ag 3.03

***

No. 2
PmCoPb | PBE | relaxed

Offset from the most stable computed form = 0 meV per atom
Crystal system = cubic

Unit cell a=4.6852 b=4.6852 c=4.6852 alpha=60.00 beta=60.00 gamma=60.00
With the nearest neighbours (Å) after each atom.
Fractional positions:
Co  0.0000  0.0000  0.0000  4 Pm 2.87, 4 Pb 2.87
Pb  0.2500  0.2500  0.2500  4 Co 2.87
Pm  0.7500  0.7500  0.7500  4 Co 2.87

***

No. 3
NaZrCoGe | PBE | relaxed

Offset from the most stable computed form = 0 meV per atom
Crystal system = cubic

Unit cell a=4.4472 b=4.4472 c=4.4472 alpha=60.00 beta=60.00 gamma=60.00
With the nearest neighbours (Å) after each atom.
Fractional positions:
Co  0.2500  0.2500  0.2500  4 Zr 2.72, 4 Ge 2.72
Ge  0.5000  0.5000  0.5000  4 Na 2.72, 4 Co 2.72
Na  0.7500  0.7500  0.7500  4 Ge 2.72, 4 Zr 2.72
Zr  0.0000  0.0000  0.0000  4 Na 2.72, 4 Co 2.72

***

No. 4
NaCdCoW | PBE | relaxed

Offset from the most stable computed form = 94 meV per atom
Crystal system = cubic

Unit cell a=4.5251 b=4.5251 c=4.5251 alpha=60.00 beta=60.00 gamma=60.00
With the nearest neighbours (Å) after each atom.
Fractional positions:
Cd  0.5000  0.5000  0.5000  4 Na 2.77, 4 W 2.77
Co  0.0000  0.0000  0.0000  4 Na 2.77, 4 W 2.77
Na  0.7500  0.7500  0.7500  4 Co 2.77, 4 Cd 2.77
W  0.2500  0.2500  0.2500  4 Co 2.77, 4 Cd 2.77

***

No. 5
ZrGe2Ir | PBE | relaxed

Crystal system = orthorhombic

Unit cell a=3.0832 b=6.9497 c=6.5346 alpha=90.00 beta=90.00 gamma=90.00
With the nearest neighbours (Å) after each atom.
Fractional positions:
Ge  0.5000  0.1731  0.1885  4 Ir 2.61-2.62, 1 Zr 2.78
Ge  0.0000  0.7376  0.3166  2 Ir 2.51-2.57
Ge  0.5000  0.8269  0.6885  4 Ir 2.61-2.62, 1 Zr 2.78
Ge  0.0000  0.2624  0.8166  2 Ir 2.51-2.57
Ir  0.0000  0.0682  0.4925  6 Ge 2.51-2.62
Ir  0.0000  0.9318  0.9925  6 Ge 2.51-2.62
Zr  0.5000  0.5579  0.0024  6 Ge 2.78-2.94, 2 Ir 3.02, 2 Zr 3.08
Zr  0.5000  0.4421  0.5024  6 Ge 2.78-2.94, 2 Ir 3.02, 2 Zr 3.08

***

No. 6
AuI | PBE | relaxed

Crystal system = hexagonal

Unit cell a=3.9416 b=3.9416 c=3.9955 alpha=90.00 beta=90.00 gamma=120.00
With the nearest neighbours (Å) after each atom.
Fractional positions:
Au  0.6667  0.3333  0.7500  6 I 3.03
I  0.3333  0.6667  0.2500  6 Au 3.03

***

No. 7
BeCuSbW | PBE | relaxed

Offset from the most stable computed form = 0 meV per atom
Crystal system = cubic

Unit cell a=4.4204 b=4.4204 c=4.4204 alpha=60.00 beta=60.00 gamma=60.00
With the nearest neighbours (Å) after each atom.
Fractional positions:
Be  0.5000  0.5000  0.5000  4 W 2.71, 4 Cu 2.71
Cu  0.7500  0.7500  0.7500  4 Be 2.71, 4 Sb 2.71
Sb  0.0000  0.0000  0.0000  4 W 2.71, 4 Cu 2.71
W  0.2500  0.2500  0.2500  4 Be 2.71, 4 Sb 2.71

***

No. 8
Sc3Ni8Hg | PBE | relaxed

Crystal system = trigonal
Formation energy = -0.444 eV/atom

Unit cell a=8.4565 b=8.4565 c=8.4565 alpha=33.44 beta=33.44 gamma=33.44
With the nearest neighbours (Å) after each atom.
Fractional positions:
Hg  0.8734  0.8734  0.8734  12 Ni 2.85-2.90, 4 Sc 2.92-2.94
Ni  0.1873  0.1873  0.1873  6 Ni 2.46-2.47
Ni  0.9366  0.9366  0.4345  6 Ni 2.40-2.46
Ni  0.9426  0.4377  0.4377  6 Ni 2.41-2.47
Ni  0.4377  0.9426  0.4377  6 Ni 2.41-2.47
Ni  0.6879  0.6879  0.6879  6 Ni 2.40-2.42
Ni  0.9366  0.4345  0.9366  6 Ni 2.40-2.46
Ni  0.4345  0.9366  0.9366  6 Ni 2.40-2.46
Ni  0.4377  0.4377  0.9426  6 Ni 2.41-2.47
Sc  0.3762  0.3762  0.3762  12 Ni 2.82-2.86, 4 Sc 3.03-3.07
Sc  0.5043  0.5043  0.5043  12 Ni 2.82-2.93, 3 Hg 2.94, 1 Sc 3.07
Sc  0.9953  0.9953  0.9953  12 Ni 2.78-2.92, 1 Hg 2.92, 3 Sc 3.03

***

No. 9
ZnBAsO | PBE | relaxed

Offset from the most stable computed form = 115 meV per atom
Crystal system = orthorhombic

Unit cell a=2.4813 b=7.6223 c=5.8149 alpha=90.00 beta=90.00 gamma=90.00
With the nearest neighbours (Å) after each atom.
Fractional positions:
As  0.0000  0.8684  0.3387  2 B 2.17-2.22
As  0.0000  0.1316  0.8387  2 B 2.17-2.22
B  0.0000  0.1425  0.4652  2 O 1.44
B  0.0000  0.8575  0.9652  2 O 1.44
O  0.5000  0.2189  0.3878  2 B 1.44
O  0.5000  0.7811  0.8878  2 B 1.44
Zn  0.5000  0.4093  0.0623  1 O 2.39, 2 Zn 2.48
Zn  0.5000  0.5907  0.5623  1 O 2.39, 2 Zn 2.48

***

No. 10
Nd4S3N | PBE | relaxed

Crystal system = tetragonal

Unit cell a=6.8825 b=6.8825 c=6.8825 alpha=131.64 beta=131.64 gamma=70.80
With the nearest neighbours (Å) after each atom.
Fractional positions:
N  0.5000  0.5000  0.0000  2 Nd 2.47
Nd  0.2802  0.2802  0.0000  1 N 2.47
Nd  0.7198  0.7198  0.0000  1 N 2.47
Nd  0.5000  0.0000  0.5000  4 S 2.81-2.82, 2 N 2.82
Nd  0.0000  0.5000  0.5000  4 S 2.81-2.82, 2 N 2.82
S  0.0000  0.0000  0.0000  6 Nd 2.82-3.14
S  0.7500  0.2500  0.5000  6 Nd 2.81-2.84
S  0.2500  0.7500  0.5000  6 Nd 2.81-2.84

***

No. 11
ErLuPO | PBE | relaxed

Offset from the most stable computed form = 82 meV per atom
Crystal system = tetragonal

Unit cell a=4.2435 b=4.2435 c=8.3905 alpha=90.00 beta=90.00 gamma=90.00
With the nearest neighbours (Å) after each atom.
Fractional positions:
Er  0.0000  0.5000  0.1038  4 O 2.29
Er  0.5000  0.0000  0.8962  4 O 2.29
Lu  0.0000  0.0000  0.5000  4 P 2.67
Lu  0.5000  0.5000  0.5000  4 P 2.67
O  0.0000  0.0000  0.0000  4 Er 2.29
O  0.5000  0.5000  0.0000  4 Er 2.29
P  0.5000  0.0000  0.3068  4 Lu 2.67
P  0.0000  0.5000  0.6932  4 Lu 2.67

***

No. 12
ZnCl2 | PBE | relaxed

Crystal system = orthorhombic

Unit cell a=7.6768 b=4.2141 c=4.2141 alpha=88.78 beta=90.00 gamma=90.00
With the nearest neighbours (Å) after each atom.
Fractional positions:
Cl  0.0000  0.0188  0.0188  2 Zn 2.31
Cl  0.5000  0.0188  0.0188  2 Zn 2.31
Cl  0.7500  0.4893  0.4789  2 Zn 2.29-2.37
Cl  0.2500  0.4789  0.4893  2 Zn 2.29-2.37
Zn  0.7500  0.9738  0.7165  4 Cl 2.29-2.37
Zn  0.2500  0.7165  0.9738  4 Cl 2.29-2.37

***

Electronic total energy, respectively: -2.731 -5.291 -5.456 -4.651 -7.105 -2.053 -5.417 -5.763 -5.045 -6.772 -6.810 -2.676 eV/atom.